This record from the Open Quantum Materials Database describes a geometry-optimized HoBNO structure. The functional is GGA-PBE.

- E above lowest polymorph (meV per atom) = 498.1
- total energy (eV/atom) = -7.58

Cell: 3.4751 5.1712 4.7795 Å, 90.00 90.00 90.00°
Space group Pmc2_1 (No. 26)
One atom of each set of equivalent atoms:
1 Ho 0.0000 0.2355 0.0000 (multiplicity 2)
2 B 0.5000 0.3450 0.4724 (multiplicity 2)
3 N 0.5000 0.4553 0.7537 (multiplicity 2)
4 O 0.0000 0.1892 0.4727 (multiplicity 2)



This record from the Open Quantum Materials Database describes a geometry-optimized Ac3Pu2N7 structure. The functional is GGA-PBE.

- total energy (eV/atom) = -9.38

Cell: 4.2444 4.2444 21.7042 Å, 90.00 90.00 90.00°
Space group I4/mmm (No. 139)
One atom of each set of equivalent atoms:
1 Ac 0.0000 0.0000 0.0000 (multiplicity 2)
2 Ac 0.0000 0.0000 0.1858 (multiplicity 4)
3 Pu 0.0000 0.0000 0.4018 (multiplicity 4)
4 N 0.0000 0.0000 0.3023 (multiplicity 4)
5 N 0.0000 0.0000 0.5000 (multiplicity 2)
6 N 0.0000 0.5000 0.0968 (multiplicity 8)



This record from the Open Quantum Materials Database describes a geometry-optimized TaRe structure. The functional is GGA-PBE.

- energy of formation from the pure elements (eV per atom) = 0.404
- total energy (eV/atom) = -11.73

Cell: 5.3473 5.3473 8.2878 Å, 90.00 90.00 120.00°
Space group P6_3/mmc (No. 194)
One atom of each set of equivalent atoms:
1 Ta 0.1698 0.3396 0.2500 (multiplicity 6)
2 Re 0.0000 0.0000 0.0000 (multiplicity 2)
3 Re 0.3333 0.6667 0.5428 (multiplicity 4)



This record from the Open Quantum Materials Database describes a geometry-optimized Pr2Ho2CICl4 structure. The functional is GGA-PBE.

- E above lowest polymorph (meV per atom) = 0.0
- total energy (eV/atom) = -5.26

Cell: 17.2834 3.8967 8.9522 Å, 90.00 103.22 90.00°
Space group C2/m (No. 12)
One atom of each set of equivalent atoms:
1 Pr 0.0024 0.0000 0.3046 (multiplicity 4)
2 Ho 0.1417 0.5000 0.5716 (multiplicity 4)
3 C 0.0000 0.5000 0.5000 (multiplicity 2)
4 I 0.0000 0.5000 0.0000 (multiplicity 2)
5 Cl 0.1690 0.0000 0.7866 (multiplicity 4)
6 Cl 0.1763 0.0000 0.3788 (multiplicity 4)